VASP calculation (PBE with a Hubbard U) on crystalline NiSbP2O at its relaxed geometry.

Summary:
polymorph energy (0 for the lowest one)	2.02	eV/f.u.
D(E_F)	2.1	states/eV per cell
uncorrected energy	-3.73	eV/atom
space-group type	No. 123
calculated volume	79.0	Å³ per cell

abc: 4.1082 4.6832 4.1082
angles: 90.00 90.00 90.00
Each line ends with the local moment (μB).
Atoms (fractional coordinates):
P: 0.5000 0.0000 0.0000  -0.06
P: 0.0000 0.0000 0.5000  -0.07
Sb: 0.0000 0.5000 0.0000  0.04
O: 0.0000 0.0000 0.0000  0.00
Ni: 0.5000 0.5000 0.5000  -0.76